First-principles (PBE) data for crystalline Sc4CdCoN2 at its relaxed geometry, as listed in the Open Quantum Materials Database.

Properties
Crystal system: hexagonal
Total moment (μB/atom): 0.02
VASP energy (eV/cell): -57.630

Cell: 3.1855 3.1855 14.0725 Å, 90.00 90.00 120.00°
Space group P-6m2 (No. 187)
Asymmetric unit:
1 Sc 0.0000 0.0000 0.1354 (multiplicity 2)
2 Sc 0.6667 0.3333 0.3154 (multiplicity 2)
3 Cd 0.0000 0.0000 0.5000 (multiplicity 1)
4 Co 0.6667 0.3333 0.0000 (multiplicity 1)
5 N 0.3333 0.6667 0.2349 (multiplicity 2)